A plane-wave DFT calculation with PBE was carried out for K2ZrSi after structural relaxation.

Output
Raw formation energy in eV per atom: 0.75

Cell and atoms, written as CIF:
```
data_K2ZrSi
_chemical_formula_sum 'K8 Zr4 Si4'
_space_group_name_H-M_alt 'F -4 3 m'
_space_group_IT_number 216
_space_group_name_Hall 'F -4 2 3'
_cell_length_a 7.5730
_cell_length_b 7.5730
_cell_length_c 7.5730
_cell_angle_alpha 90.00
_cell_angle_beta 90.00
_cell_angle_gamma 90.00
loop_
_atom_site_label
_atom_site_fract_x
_atom_site_fract_y
_atom_site_fract_z
K1 0.0000 0.0000 0.0000
K2 0.2500 0.2500 0.2500
Zr1 0.0000 0.0000 0.5000
Si1 0.2500 0.2500 0.7500
```